The following is a DFT calculation (PBE-GGA) of a relaxed structure of Ac2Pm4Th.

The value obtained for the density is 8.2 g cm⁻³. Its formation energy is 0.05 eV per atom. The calculation puts the total energy at -102.926 eV for the cell shown.

It has space group R-3m (No. 166, hexagonal axes), with a = 3.7514 Å, b = 3.7514 Å, c = 63.4937 Å, α = 90.00°, β = 90.00° and γ = 120.00°. Symmetry generates all atoms from Ac at (0.0000, 0.0000, 0.0719), Pm at (0.0000, 0.0000, 0.2111), Pm at (0.0000, 0.0000, 0.3565) and Th at (0.0000, 0.0000, 0.5000).



The following is a DFT calculation (PBE-GGA) of a relaxed structure of TaGaSbI2.

The value obtained for the density is 6.0 g cm⁻³. The excess energy over the best structure of this formula in the dataset is 0 meV/atom. As for the uncorrected formation energy: 0.367 eV per atom. The calculation puts the total energy at -20.268 eV for the cell shown.

It has space group P4/mmm (No. 123), with a = 5.647 Å, b = 5.647 Å, c = 5.417 Å, α = 90.00°, β = 90.00° and γ = 90.00°. Symmetry generates all atoms from Ta at (0.000, 0.000, 0.000), Ga at (0.500, 0.500, 0.500), Sb at (0.000, 0.000, 0.500) and I at (0.000, 0.500, 0.000).



The following is a DFT calculation (PBE-GGA) of a relaxed structure of Ca2Si3AgPt12.

The value obtained for the density is 12.5 g cm⁻³. As for the uncorrected formation energy: -0.319 eV per atom. The calculation puts the total energy at -304.072 eV for the cell shown.

It has space group R-3m (No. 166, hexagonal axes), with a = 8.3325 Å, b = 8.3325 Å, c = 17.3512 Å, α = 90.00°, β = 90.00° and γ = 120.00°. Symmetry generates all atoms from Ca at (0.0000, 0.0000, 0.1012), Si at (0.0000, 0.5000, 0.0000), Ag at (0.0000, 0.0000, 0.5000), Pt at (0.0201, 0.5101, 0.8673) and Pt at (0.0317, 0.5158, 0.3691).



The following is a DFT calculation (PBE-GGA) of a relaxed structure of YZn2Ni2.

The value obtained for the density is 6.9 g cm⁻³. The excess energy over the best structure of this formula in the dataset is 19 meV/atom. Its formation energy is -0.34 eV per atom. The calculation puts the total energy at -89.061 eV for the cell shown.

It has space group I4/mmm (No. 139), with a = 3.967 Å, b = 3.967 Å, c = 20.719 Å, α = 90.00°, β = 90.00° and γ = 90.00°. Symmetry generates all atoms from Y at (0.000, 0.000, 0.128), Zn at (0.000, 0.000, 0.317), Zn at (0.000, 0.500, 0.000), Ni at (0.000, 0.000, 0.432) and Ni at (0.000, 0.500, 0.250).



The following is a DFT calculation (PBE-GGA) of a relaxed structure of HoScIn6.

The value obtained for the density is 7.8 g cm⁻³. Its formation energy is -0.35 eV per atom. The calculation puts the total energy at -30.153 eV for the cell shown.

It has space group P4/mmm (No. 123), with a = 4.580 Å, b = 4.580 Å, c = 9.144 Å, α = 90.00°, β = 90.00° and γ = 90.00°. Symmetry generates all atoms from Ho at (0.000, 0.000, 0.000), Sc at (0.000, 0.000, 0.500), In at (0.000, 0.500, 0.256), In at (0.500, 0.500, 0.000) and In at (0.500, 0.500, 0.500).



The following is a DFT calculation (PBE-GGA) of a relaxed structure of CePuTlPb.

The value obtained for the density is 11.2 g cm⁻³. Its formation energy is -0.15 eV per atom. The calculation puts the total energy at -107.802 eV for the cell shown.

It has space group F-43m (No. 216), with a = 7.776 Å, b = 7.776 Å, c = 7.776 Å, α = 90.00°, β = 90.00° and γ = 90.00°. Symmetry generates all atoms from Ce at (0.000, 0.000, 0.000), Pu at (0.000, 0.000, 0.500), Tl at (0.250, 0.250, 0.750) and Pb at (0.250, 0.250, 0.250).



Q: Which value of density does entry 6 give?
A: 11.2 g cm⁻³